Entry 1:
VASP calculation (PBE) on an optimized crystal structure of NaNp4.

```
5
Lattice="5.388 0.000 0.000 0.000 5.388 0.000 0.000 0.000 5.388" Properties=species:S:1:pos:R:3 pbc="T T T"
Na 2.694 2.694 2.694
Np 2.694 0.000 2.694
Np 2.694 2.694 0.000
Np 0.000 0.000 0.000
Np 0.000 2.694 2.694
```

**Total magnetization**: 20.37 μB per formula unit
**E**: -43.0 eV per formula unit
**Energy relative to the elements**: 2.019 eV/atom

Entry 2:
VASP calculation (PBE) on an optimized crystal structure of DyEr3Tc.

```
10
Lattice="-1.854 5.660 -4.081 -6.113 -3.172 2.167 3.713 1.716 5.932" Properties=species:S:1:pos:R:3 pbc="T T T"
Er -0.808 5.141 -1.589
Er -3.474 2.829 -1.017
Er -0.780 1.375 5.036
Er -3.446 -0.937 5.607
Er -2.172 3.747 2.278
Er -2.082 0.457 1.741
Tc -4.349 1.811 1.302
Tc 0.095 2.394 2.717
Dy 1.188 5.143 1.741
Dy -5.442 -0.938 2.277
```

**Total magnetization**: 0.00 μB per formula unit
**Excess energy over the best structure of this formula in the dataset**: 0.000 kcal/mol of atoms
**E**: -28.8 eV per formula unit
**Energy relative to the elements**: -0.035 eV/atom

Entry 3:
VASP calculation (PBE) on an optimized crystal structure of Zr3CdPd5.

```
18
Lattice="-3.321 -2.729 3.683 -0.510 -6.317 -5.140 5.956 0.260 5.564" Properties=species:S:1:pos:R:3 pbc="T T T"
Pd 1.645 -4.124 -1.571
Pd 1.199 -6.155 3.049
Pd -0.572 -1.966 4.552
Pd -1.174 -4.964 -2.562
Pd -0.015 -5.490 0.268
Pd 2.698 -6.821 -0.445
Pd 2.141 -3.297 3.838
Pd 3.299 -3.822 6.669
Pd 0.480 -4.662 5.678
Pd 0.926 -2.631 1.058
Zr -0.572 -4.179 2.907
Zr -2.821 -6.140 -0.569
Zr 2.697 -4.607 1.199
Zr 1.367 -1.879 6.366
Zr 0.759 -6.907 -2.259
Zr 4.946 -2.646 4.676
Cd -1.660 -1.364 1.841
Cd 0.000 0.000 0.000
```

**Total magnetization**: 0.00 μB per formula unit
**E**: -58.2 eV per formula unit
**Energy relative to the elements**: -0.625 eV/atom

Entry 4:
VASP calculation (PBE) on an optimized crystal structure of LiAsPb2.

```
4
Lattice="0.201 -1.552 4.834 -1.676 -4.172 2.367 4.562 -3.887 0.657" Properties=species:S:1:pos:R:3 pbc="T T T"
Pb 0.128 -0.153 0.064
Pb 2.156 -7.370 6.186
Li 1.301 -2.548 1.716
As 1.046 -4.347 3.820
```

**Total magnetization**: 0.00 μB per formula unit
**E**: -14.6 eV per formula unit
**Energy relative to the elements**: -0.150 eV/atom

Entry 5:
VASP calculation (PBE) on an optimized crystal structure of InSn2RuCl.

```
5
Lattice="-0.468 1.464 -4.835 -2.432 -4.322 -1.073 -4.581 2.296 1.138" Properties=species:S:1:pos:R:3 pbc="T T T"
Sn -1.216 -2.161 -0.536
Sn -0.234 0.732 -2.418
In -2.291 1.148 0.569
Ru 0.000 0.000 0.000
Cl -3.741 -0.281 -2.385
```

**Total magnetization**: 0.00 μB per formula unit
**E**: -23.7 eV per formula unit
**Raw formation energy**: -175 kJ/mol of formula units

Entry 6:
VASP calculation (PBE) on an optimized crystal structure of Ce4Ni2Hg5.

```
11
Lattice="-2.480 2.625 0.058 -5.275 -5.046 2.755 2.998 2.640 8.693" Properties=species:S:1:pos:R:3 pbc="T T T"
Hg -2.637 -2.523 1.377
Hg -1.856 -1.971 9.773
Hg -0.374 -0.510 7.026
Hg -0.421 -0.435 1.675
Hg -1.903 -1.896 4.421
Ni 1.510 1.301 5.662
Ni -3.787 -3.707 5.785
Ce -1.079 1.368 4.411
Ce -3.679 -1.149 7.095
Ce -5.077 -2.394 3.640
Ce 0.320 2.612 7.866
```

**Total magnetization**: 2.80 μB per formula unit
**E**: -40.5 eV per formula unit
**Energy relative to the elements**: -0.335 eV/atom

Entry 7:
VASP calculation (PBE) on an optimized crystal structure of Pm2Y2Ho3.

```
7
Lattice="3.518 0.000 0.000 0.000 8.509 -0.736 -1.759 -3.585 8.006" Properties=species:S:1:pos:R:3 pbc="T T T"
Ho 0.000 5.294 2.797
Ho 0.000 4.254 -0.368
Ho 1.759 -0.371 4.474
Pm 0.000 -2.349 6.870
Pm 1.759 7.273 0.401
Y 1.759 3.165 5.128
Y 0.000 1.759 2.142
```

**Total magnetization**: 0.00 μB per formula unit
**Excess energy over the best structure of this formula in the dataset**: 0.000 kcal/mol of atoms
**E**: -35.3 eV per formula unit
**Energy relative to the elements**: 0.117 eV/atom

Entry 8:
VASP calculation (PBE) on an optimized crystal structure of ErGe2Ru.

```
4
Lattice="-1.878 2.315 -3.629 -0.363 -2.094 -4.187 -6.439 -2.081 -1.035" Properties=species:S:1:pos:R:3 pbc="T T T"
Ru 0.000 0.000 0.000
Ge -4.378 -0.588 -7.226
Ge -4.302 -1.272 -1.624
Er -4.340 -0.930 -4.425
```

**Total magnetization**: 1.78 μB per formula unit
**E**: -19.4 eV per formula unit
**Energy relative to the elements**: 0.910 eV/atom

Entry 9:
VASP calculation (PBE) on an optimized crystal structure of K2ZnAs.

```
4
Lattice="4.966 0.000 0.000 0.000 4.851 0.000 0.000 0.000 4.851" Properties=species:S:1:pos:R:3 pbc="T T T"
K 0.000 0.000 0.000
K 0.000 2.425 2.425
Zn 2.483 2.425 0.000
As 2.483 0.000 2.425
```

**Total magnetization**: 0.00 μB per formula unit
**Excess energy over the best structure of this formula in the dataset**: 7.080 kcal/mol of atoms
**E**: -7.9 eV per formula unit
**Energy relative to the elements**: 0.047 eV/atom

Entry 10:
VASP calculation (PBE) on an optimized crystal structure of Y4Tm5Pu.

```
10
Lattice="-0.537 3.666 -3.891 -5.406 -2.606 -5.420 -5.854 5.206 2.004" Properties=species:S:1:pos:R:3 pbc="T T T"
Y -5.819 1.742 -4.971
Y -5.978 4.521 -2.331
Y -3.723 1.488 -1.790
Y -8.074 4.775 -5.512
Tm -8.277 7.242 -3.161
Tm -2.588 4.904 -2.439
Tm -0.272 1.856 -1.969
Tm -9.209 1.361 -4.865
Tm -3.519 -0.976 -4.143
Pu -0.004 0.026 -0.028
```

**Total magnetization**: 5.40 μB per formula unit
**Excess energy over the best structure of this formula in the dataset**: 4.271 kcal/mol of atoms
**E**: -60.0 eV per formula unit
**Energy relative to the elements**: 0.256 eV/atom

> Look up the E of the tenth one.

-60.0 eV per formula unit